1.
Rb2Te6Rh3 | GGA-PBE | optimized geometry

Cell lengths 6.962, 6.962, 8.762 Å; angles 97.60, 97.60, 120.02 degrees
Element x y z (fractional)
Rb 0.167 0.833 0.000
Rb 0.833 0.167 0.000
Te 0.055 0.387 0.660
Te 0.281 0.281 0.338
Te 0.387 0.055 0.660
Te 0.613 0.945 0.340
Te 0.719 0.719 0.662
Te 0.945 0.613 0.340
Rh 0.000 0.000 0.500
Rh 0.333 0.667 0.500
Rh 0.667 0.333 0.500

## Properties
**Space group**: C2/m, No. 12



2.
RbTeRh3 | GGA-PBE | optimized geometry

Cell lengths 4.982, 4.982, 4.982 Å; angles 90.00, 90.00, 90.00 degrees
Element x y z (fractional)
Rb 0.000 0.000 0.000
Te 0.500 0.500 0.500
Rh 0.000 0.500 0.500
Rh 0.500 0.000 0.500
Rh 0.500 0.500 0.000

## Properties
**Space group**: Pm-3m, No. 221
**E above lowest polymorph**: 0 meV/atom



We obtain formation energy (no corrections) values of -0.553 0.561 eV/atom for the records listed above, in that order.
We obtain V values of 32.2 24.7 A^3/atom for the records listed above, in that order.